An optimized crystal structure of La2PmHoTh. Source: the Alexandria database, functional PBE-GGA.

Formation energy from the elements (eV per atom): 0.31
Raw total energy (eV per atom): -5.01
Spin magnetization (μB per cell): 0.00

a b c (Å): 9.182 6.372 6.571
angles (deg): 90.00 109.87 90.00
Sites, in units of the cell vectors:
La1 0.185 0.193 0.341
La2 0.185 0.807 0.841
La3 0.815 0.193 0.159
La4 0.815 0.807 0.659
Pm1 0.000 0.336 0.750
Pm2 0.000 0.664 0.250
Ho1 0.500 0.004 0.750
Ho2 0.500 0.996 0.250
Th1 0.500 0.500 0.000
Th2 0.500 0.500 0.500

***

An optimized crystal structure of LaSnBiO6. Source: the Alexandria database, functional PBE-GGA.

Raw total energy (eV per atom): -6.60
Spin magnetization (μB per cell): 0.00
E_form (uncorrected) (meV per atom): -1876

a b c (Å): 5.539 5.539 10.478
angles (deg): 90.00 90.00 120.00
Sites, in units of the cell vectors:
La1 0.000 0.000 0.000
La2 0.000 0.000 0.500
Sn1 0.333 0.667 0.250
Sn2 0.667 0.333 0.750
Bi1 0.333 0.667 0.750
Bi2 0.667 0.333 0.250
O1 0.006 0.364 0.139
O2 0.006 0.642 0.361
O3 0.358 0.364 0.361
O4 0.358 0.994 0.139
O5 0.364 0.006 0.639
O6 0.364 0.358 0.861
O7 0.636 0.642 0.139
O8 0.636 0.994 0.361
O9 0.642 0.006 0.861
O10 0.642 0.636 0.639
O11 0.994 0.358 0.639
O12 0.994 0.636 0.861

***

An optimized crystal structure of BaNaNbW2. Source: the Alexandria database, functional PBE-GGA.

Formation energy from the elements (eV per atom): 2.93
Raw total energy (eV per atom): -4.92
Spin magnetization (μB per cell): 0.00

a b c (Å): 4.894 4.894 5.035
angles (deg): 90.00 90.00 90.00
Sites, in units of the cell vectors:
Ba1 0.000 0.000 0.000
Na1 0.000 0.000 0.500
Nb1 0.500 0.500 0.000
W1 0.000 0.500 0.500
W2 0.500 0.000 0.500